A plane-wave DFT calculation with GGA+U was carried out for Rb3V2CuF9 after structural relaxation.

a = 5.9997 Å, b = 5.9997 Å, c = 7.3538 Å
α = 90.00°, β = 90.00°, γ = 120.00°
Space group P-3m1 (No. 164)
Inequivalent atoms, fractional coordinates:
Rb (0.0000, 0.0000, 0.0000) [1 per cell]
Rb (0.3333, 0.6667, 0.6537) [2 per cell]
V (0.3333, 0.6667, 0.1631) [2 per cell]
Cu (0.0000, 0.0000, 0.5000) [1 per cell]
F (0.0000, 0.5000, 0.0000) [3 per cell]
F (0.1712, 0.3424, 0.3234) [6 per cell]

* total energy: -5.133 eV per atom

A plane-wave DFT calculation with GGA+U was carried out for RbVCuF6 after structural relaxation.

a = 5.687 Å, b = 9.131 Å, c = 6.014 Å
α = 90.00°, β = 92.77°, γ = 90.00°
Space group C2 (No. 5)
Inequivalent atoms, fractional coordinates:
Rb (0.000, 0.000, 0.000) [2 per cell]
V (0.000, 0.344, 0.500) [2 per cell]
Cu (0.000, 0.684, 0.500) [2 per cell]
F (0.116, 0.520, 0.681) [4 per cell]
F (0.156, 0.217, 0.710) [4 per cell]
F (0.190, 0.829, 0.661) [4 per cell]

* total energy: -5.083 eV per atom